Entry 1:
TmZn2Ag5: relaxed, PBE.

Cell and atoms, written as CIF:
```
data_TmZn2Ag5
_space_group_name_H-M_alt 'I m m m'
_space_group_IT_number 71
_space_group_name_Hall '-I 2 2'
_cell_length_a 3.3765
_cell_length_b 8.3886
_cell_length_c 10.5907
_cell_angle_alpha 90.00
_cell_angle_beta 90.00
_cell_angle_gamma 90.00
loop_
_atom_site_label
_atom_site_fract_x
_atom_site_fract_y
_atom_site_fract_z
Tm1 0.0000 0.0000 0.0000
Zn1 0.0000 0.5000 0.2568
Ag1 0.0000 0.2190 0.3643
Ag2 0.0000 0.5000 0.0000
```

## Properties
E_form, eV per atom: -0.102

***

Entry 2:
Tm3Zn9Ag2: relaxed, PBE.

Cell and atoms, written as CIF:
```
data_Tm3Zn9Ag2
_space_group_name_H-M_alt 'I m m m'
_space_group_IT_number 71
_space_group_name_Hall '-I 2 2'
_cell_length_a 4.3879
_cell_length_b 8.7820
_cell_length_c 13.1159
_cell_angle_alpha 90.00
_cell_angle_beta 90.00
_cell_angle_gamma 90.00
loop_
_atom_site_label
_atom_site_fract_x
_atom_site_fract_y
_atom_site_fract_z
Tm1 0.0000 0.0000 0.0000
Tm2 0.0000 0.0000 0.2936
Zn1 0.0000 0.2815 0.1377
Zn2 0.0000 0.3600 0.3351
Zn3 0.0000 0.5000 0.0000
Ag1 0.0000 0.1862 0.5000
```

## Properties
E_form, eV per atom: -0.294

***

Entry 3:
Tm4Zn5Ag: relaxed, PBE.

Cell and atoms, written as CIF:
```
data_Tm4Zn5Ag
_space_group_name_H-M_alt 'P 4/m m m'
_space_group_IT_number 123
_space_group_name_Hall '-P 4 2'
_cell_length_a 3.4670
_cell_length_b 3.4670
_cell_length_c 17.1477
_cell_angle_alpha 90.00
_cell_angle_beta 90.00
_cell_angle_gamma 90.00
loop_
_atom_site_label
_atom_site_fract_x
_atom_site_fract_y
_atom_site_fract_z
Tm1 0.0000 0.0000 0.1038
Tm2 0.0000 0.0000 0.3097
Zn1 0.5000 0.5000 0.0000
Zn2 0.5000 0.5000 0.2062
Zn3 0.5000 0.5000 0.4163
Ag1 0.0000 0.0000 0.5000
```

## Properties
E_form, eV per atom: -0.287

***

Entry 4:
TmZnAg2: relaxed, PBE.

Cell and atoms, written as CIF:
```
data_TmZnAg2
_space_group_name_H-M_alt 'P n m a'
_space_group_IT_number 62
_space_group_name_Hall '-P 2ac 2n'
_cell_length_a 7.5929
_cell_length_b 7.5691
_cell_length_c 5.5012
_cell_angle_alpha 90.00
_cell_angle_beta 90.00
_cell_angle_gamma 90.00
loop_
_atom_site_label
_atom_site_fract_x
_atom_site_fract_y
_atom_site_fract_z
Tm1 0.0391 0.2500 0.1337
Zn1 0.1139 0.7500 0.3724
Ag1 0.1843 0.0541 0.5950
```

## Properties
E_form, eV per atom: -0.254

***

Entry 5:
Tm3Zn4Ag2: relaxed, PBE.

Cell and atoms, written as CIF:
```
data_Tm3Zn4Ag2
_space_group_name_H-M_alt 'C 1 2/m 1'
_space_group_IT_number 12
_space_group_name_Hall '-C 2y'
_cell_length_a 10.4272
_cell_length_b 4.5158
_cell_length_c 8.6062
_cell_angle_alpha 90.00
_cell_angle_beta 115.65
_cell_angle_gamma 90.00
loop_
_atom_site_label
_atom_site_fract_x
_atom_site_fract_y
_atom_site_fract_z
Tm1 0.0000 0.0000 0.0000
Tm2 0.1703 0.5000 0.6644
Zn1 0.0452 0.0000 0.3850
Zn2 0.2263 0.5000 0.0535
Ag1 0.1069 0.5000 0.2725
```

## Properties
E_form, eV per atom: -0.331

***

Entry 6:
TmZnAg3: relaxed, PBE.

Cell and atoms, written as CIF:
```
data_TmZnAg3
_space_group_name_H-M_alt 'C m m m'
_space_group_IT_number 65
_space_group_name_Hall '-C 2 2'
_cell_length_a 4.5977
_cell_length_b 26.8437
_cell_length_c 3.3478
_cell_angle_alpha 90.00
_cell_angle_beta 90.00
_cell_angle_gamma 90.00
loop_
_atom_site_label
_atom_site_fract_x
_atom_site_fract_y
_atom_site_fract_z
Tm1 0.0000 0.1750 0.0000
Zn1 0.0000 0.3742 0.5000
Ag1 0.0000 0.0713 0.5000
Ag2 0.0000 0.2777 0.5000
Ag3 0.0000 0.4499 0.0000
```

## Properties
E_form, eV per atom: -0.086

***

Entry 7:
TmZn11Ag: relaxed, PBE.

Cell and atoms, written as CIF:
```
data_TmZn11Ag
_space_group_name_H-M_alt 'C 1 2/m 1'
_space_group_IT_number 12
_space_group_name_Hall '-C 2y'
_cell_length_a 5.3051
_cell_length_b 12.5490
_cell_length_c 6.7989
_cell_angle_alpha 90.00
_cell_angle_beta 112.62
_cell_angle_gamma 90.00
loop_
_atom_site_label
_atom_site_fract_x
_atom_site_fract_y
_atom_site_fract_z
Tm1 0.0000 0.0000 0.0000
Zn1 0.0000 0.5000 0.5000
Zn2 0.0999 0.3910 0.2124
Zn3 0.1808 0.1782 0.3505
Zn4 0.2500 0.2500 0.0000
Ag1 0.0000 0.0000 0.5000
```

## Properties
E_form, eV per atom: -0.144

***

Entry 8:
TmZn2Ag: relaxed, PBE.

Cell and atoms, written as CIF:
```
data_TmZn2Ag
_space_group_name_H-M_alt 'P n m a'
_space_group_IT_number 62
_space_group_name_Hall '-P 2ac 2n'
_cell_length_a 6.8988
_cell_length_b 4.2932
_cell_length_c 10.1632
_cell_angle_alpha 90.00
_cell_angle_beta 90.00
_cell_angle_gamma 90.00
loop_
_atom_site_label
_atom_site_fract_x
_atom_site_fract_y
_atom_site_fract_z
Tm1 0.2209 0.2500 0.1746
Zn1 0.0794 0.2500 0.8510
Zn2 0.1920 0.7500 0.9634
Ag1 0.0359 0.7500 0.4022
```

## Properties
E_form, eV per atom: -0.314

***

Entry 9:
Tm5Zn2Ag: relaxed, PBE.

Cell and atoms, written as CIF:
```
data_Tm5Zn2Ag
_space_group_name_H-M_alt 'I 4/m c m'
_space_group_IT_number 140
_space_group_name_Hall '-I 4 2c'
_cell_length_a 7.2523
_cell_length_b 7.2523
_cell_length_c 15.0843
_cell_angle_alpha 90.00
_cell_angle_beta 90.00
_cell_angle_gamma 90.00
loop_
_atom_site_label
_atom_site_fract_x
_atom_site_fract_y
_atom_site_fract_z
Tm1 0.0000 0.0000 0.0000
Tm2 0.1669 0.3331 0.1503
Zn1 0.1230 0.3770 0.5000
Ag1 0.0000 0.0000 0.2500
```

## Properties
E_form, eV per atom: -0.226

***

Entry 10:
TmZnAg2: relaxed, PBE.

Cell and atoms, written as CIF:
```
data_TmZnAg2
_space_group_name_H-M_alt 'P 4/m m m'
_space_group_IT_number 123
_space_group_name_Hall '-P 4 2'
_cell_length_a 4.3534
_cell_length_b 4.3534
_cell_length_c 4.2591
_cell_angle_alpha 90.00
_cell_angle_beta 90.00
_cell_angle_gamma 90.00
loop_
_atom_site_label
_atom_site_fract_x
_atom_site_fract_y
_atom_site_fract_z
Tm1 0.0000 0.0000 0.0000
Zn1 0.5000 0.5000 0.0000
Ag1 0.0000 0.5000 0.5000
```

## Properties
E_form, eV per atom: -0.131

***

Entry 11:
TmZn2Ag: relaxed, PBE.

Cell and atoms, written as CIF:
```
data_TmZn2Ag
_space_group_name_H-M_alt 'P 4/m m m'
_space_group_IT_number 123
_space_group_name_Hall '-P 4 2'
_cell_length_a 4.2592
_cell_length_b 4.2592
_cell_length_c 4.3199
_cell_angle_alpha 90.00
_cell_angle_beta 90.00
_cell_angle_gamma 90.00
loop_
_atom_site_label
_atom_site_fract_x
_atom_site_fract_y
_atom_site_fract_z
Tm1 0.0000 0.0000 0.0000
Zn1 0.0000 0.5000 0.5000
Ag1 0.5000 0.5000 0.0000
```

## Properties
E_form, eV per atom: -0.174

***

Entry 12:
TmZn6Ag4: relaxed, PBE.

Cell and atoms, written as CIF:
```
data_TmZn6Ag4
_space_group_name_H-M_alt 'P -6 m 2'
_space_group_IT_number 187
_space_group_name_Hall 'P -6 2'
_cell_length_a 7.4140
_cell_length_b 7.4140
_cell_length_c 4.1806
_cell_angle_alpha 90.00
_cell_angle_beta 90.00
_cell_angle_gamma 120.00
loop_
_atom_site_label
_atom_site_fract_x
_atom_site_fract_y
_atom_site_fract_z
Tm1 0.0000 0.0000 0.0000
Zn1 0.2051 0.4103 0.5000
Zn2 0.5383 0.0766 0.0000
Ag1 0.3333 0.6667 0.0000
Ag2 0.3923 0.1961 0.5000
```

## Properties
E_form, eV per atom: -0.059

***

Entry 13:
TmZn4Ag2: relaxed, PBE.

Cell and atoms, written as CIF:
```
data_TmZn4Ag2
_space_group_name_H-M_alt 'P 42/m n m'
_space_group_IT_number 136
_space_group_name_Hall '-P 4n 2n'
_cell_length_a 7.5336
_cell_length_b 7.5336
_cell_length_c 4.4256
_cell_angle_alpha 90.00
_cell_angle_beta 90.00
_cell_angle_gamma 90.00
loop_
_atom_site_label
_atom_site_fract_x
_atom_site_fract_y
_atom_site_fract_z
Tm1 0.0000 0.0000 0.0000
Zn1 0.1056 0.3595 0.5000
Ag1 0.2063 0.7937 0.5000
```

## Properties
E_form, eV per atom: -0.139

***

Entry 14:
Tm3Zn6Ag5: relaxed, PBE.

Cell and atoms, written as CIF:
```
data_Tm3Zn6Ag5
_space_group_name_H-M_alt 'I m m m'
_space_group_IT_number 71
_space_group_name_Hall '-I 2 2'
_cell_length_a 4.4121
_cell_length_b 9.3658
_cell_length_c 12.9274
_cell_angle_alpha 90.00
_cell_angle_beta 90.00
_cell_angle_gamma 90.00
loop_
_atom_site_label
_atom_site_fract_x
_atom_site_fract_y
_atom_site_fract_z
Tm1 0.0000 0.0000 0.0000
Tm2 0.0000 0.0000 0.2953
Zn1 0.0000 0.1778 0.5000
Zn2 0.0000 0.2870 0.1314
Ag1 0.0000 0.3540 0.3375
Ag2 0.0000 0.5000 0.0000
```

## Properties
E_form, eV per atom: -0.231

***

Entry 15:
TmZn2Ag4: relaxed, PBE.

Cell and atoms, written as CIF:
```
data_TmZn2Ag4
_space_group_name_H-M_alt 'C 1 2/m 1'
_space_group_IT_number 12
_space_group_name_Hall '-C 2y'
_cell_length_a 8.7168
_cell_length_b 6.8816
_cell_length_c 5.3004
_cell_angle_alpha 90.00
_cell_angle_beta 125.75
_cell_angle_gamma 90.00
loop_
_atom_site_label
_atom_site_fract_x
_atom_site_fract_y
_atom_site_fract_z
Tm1 0.0000 0.0000 0.0000
Zn1 0.0012 0.5000 0.7540
Ag1 0.1961 0.2001 0.6970
```

## Properties
E_form, eV per atom: -0.168

***

Entry 16:
TmZn10Ag: relaxed, PBE.

Cell and atoms, written as CIF:
```
data_TmZn10Ag
_space_group_name_H-M_alt 'P m m m'
_space_group_IT_number 47
_space_group_name_Hall '-P 2 2'
_cell_length_a 4.3248
_cell_length_b 5.0961
_cell_length_c 9.0799
_cell_angle_alpha 90.00
_cell_angle_beta 90.00
_cell_angle_gamma 90.00
loop_
_atom_site_label
_atom_site_fract_x
_atom_site_fract_y
_atom_site_fract_z
Tm1 0.0000 0.0000 0.0000
Zn1 0.0000 0.0000 0.3432
Zn2 0.0000 0.5000 0.1889
Zn3 0.5000 0.0000 0.5000
Zn4 0.5000 0.2420 0.2394
Zn5 0.5000 0.5000 0.0000
Ag1 0.0000 0.5000 0.5000
```

## Properties
E_form, eV per atom: -0.088

***

Entry 17:
Tm4ZnAg3: relaxed, PBE.

Cell and atoms, written as CIF:
```
data_Tm4ZnAg3
_space_group_name_H-M_alt 'P m m 2'
_space_group_IT_number 25
_space_group_name_Hall 'P 2 -2'
_cell_length_a 3.6093
_cell_length_b 4.7299
_cell_length_c 10.9868
_cell_angle_alpha 90.00
_cell_angle_beta 90.00
_cell_angle_gamma 90.00
loop_
_atom_site_label
_atom_site_fract_x
_atom_site_fract_y
_atom_site_fract_z
Tm1 0.0000 0.0000 0.0000
Tm2 0.0000 0.5000 0.2911
Tm3 0.5000 0.0000 0.4965
Tm4 0.5000 0.5000 0.7907
Zn1 0.5000 0.0000 0.2237
Ag1 0.0000 0.0000 0.7258
Ag2 0.0000 0.5000 0.5650
Ag3 0.5000 0.5000 0.0688
```

## Properties
E_form, eV per atom: -0.289

***

Entry 18:
TmZnAg6: relaxed, PBE.

Cell and atoms, written as CIF:
```
data_TmZnAg6
_space_group_name_H-M_alt 'C 1 2/m 1'
_space_group_IT_number 12
_space_group_name_Hall '-C 2y'
_cell_length_a 8.0752
_cell_length_b 5.8784
_cell_length_c 7.3479
_cell_angle_alpha 90.00
_cell_angle_beta 108.14
_cell_angle_gamma 90.00
loop_
_atom_site_label
_atom_site_fract_x
_atom_site_fract_y
_atom_site_fract_z
Tm1 0.0000 0.0000 0.0000
Zn1 0.0000 0.5000 0.5000
Ag1 0.1175 0.5000 0.9073
Ag2 0.2285 0.2699 0.3069
```

## Properties
E_form, eV per atom: 0.042

***

Entry 19:
Tm3Zn3Ag2: relaxed, PBE.

Cell and atoms, written as CIF:
```
data_Tm3Zn3Ag2
_space_group_name_H-M_alt 'P -6 2 m'
_space_group_IT_number 189
_space_group_name_Hall 'P -6 -2'
_cell_length_a 7.1461
_cell_length_b 7.1461
_cell_length_c 3.9162
_cell_angle_alpha 90.00
_cell_angle_beta 90.00
_cell_angle_gamma 120.00
loop_
_atom_site_label
_atom_site_fract_x
_atom_site_fract_y
_atom_site_fract_z
Tm1 0.0000 0.3872 0.0000
Zn1 0.0000 0.7748 0.5000
Ag1 0.3333 0.6667 0.5000
```

## Properties
E_form, eV per atom: -0.242

***

Entry 20:
Tm4ZnAg2: relaxed, PBE.

Cell and atoms, written as CIF:
```
data_Tm4ZnAg2
_space_group_name_H-M_alt 'R -3 m'
_space_group_IT_number 166
_space_group_name_Hall '-R 3 2"'
_cell_length_a 5.0033
_cell_length_b 5.0033
_cell_length_c 24.2967
_cell_angle_alpha 90.00
_cell_angle_beta 90.00
_cell_angle_gamma 120.00
loop_
_atom_site_label
_atom_site_fract_x
_atom_site_fract_y
_atom_site_fract_z
Tm1 0.0000 0.0000 0.1228
Tm2 0.0000 0.0000 0.3740
Zn1 0.0000 0.0000 0.5000
Ag1 0.0000 0.0000 0.2487
```

## Properties
E_form, eV per atom: -0.191